Entry 1:
Density functional theory data (SCAN) for ZrIr2Br at its PBEsol-relaxed geometry.

abc: 3.3842 3.3842 7.4338
angles: 90.00 90.00 90.00
Element x y z (fractional)
1 Zr 0.0000 0.0000 0.0000
2 Ir 0.0000 0.0000 0.6662
3 Ir 0.5000 0.5000 0.7756
4 Br 0.5000 0.5000 0.2355

The density is 10.84 g cm⁻³. Its uncorrected formation energy is -218 meV/atom. The value obtained for the offset from the most stable computed form is 0.00 eV/f.u. As for the calculated volume: 21.28 Å³ per atom. The calculation puts the total magnetization at 0.00 μB per cell. The symmetry is P4mm, No. 99.



Entry 2:
Density functional theory data (SCAN) for ZrIr2Br at its PBEsol-relaxed geometry.

abc: 4.5627 4.5627 4.5627
angles: 60.00 60.00 60.00
Element x y z (fractional)
1 Zr 0.0000 0.0000 0.0000
2 Ir 0.2500 0.2500 0.2500
3 Ir 0.5000 0.5000 0.5000
4 Br 0.7500 0.7500 0.7500

The density is 13.74 g cm⁻³. Its uncorrected formation energy is 258 meV/atom. The value obtained for the offset from the most stable computed form is 1.90 eV/f.u. As for the calculated volume: 16.79 Å³ per atom. The calculation puts the total magnetization at 0.00 μB per cell. The symmetry is F-43m, No. 216.



Entry 3:
Density functional theory data (SCAN) for K3Br at its PBEsol-relaxed geometry.

abc: 4.5352 4.5352 11.8744
angles: 90.00 90.00 120.00
Element x y z (fractional)
1 K 0.0000 0.0000 0.0000
2 K 0.3333 0.6667 0.3297
3 K 0.3333 0.6667 0.6703
4 Br 0.0000 0.0000 0.5000

The density is 1.55 g cm⁻³. Its uncorrected formation energy is -913 meV/atom. The value obtained for the offset from the most stable computed form is 0.04 eV/f.u. As for the calculated volume: 52.88 Å³ per atom. The calculation puts the total magnetization at 0.09 μB per cell. The symmetry is P-6m2, No. 187.



Entry 4:
Density functional theory data (SCAN) for KBr3 at its PBEsol-relaxed geometry.

abc: 10.3016 10.3016 5.3751
angles: 90.00 90.00 119.36
Element x y z (fractional)
1 K 0.1677 0.8323 0.7500
2 K 0.8323 0.1677 0.2500
3 Br 0.0093 0.5178 0.2500
4 Br 0.0090 0.9910 0.2500
5 Br 0.4822 0.9907 0.2500
6 Br 0.5178 0.0093 0.7500
7 Br 0.9910 0.0090 0.7500
8 Br 0.9907 0.4822 0.7500

The density is 1.86 g cm⁻³. Its uncorrected formation energy is -850 meV/atom. As for the calculated volume: 62.14 Å³ per atom. The calculation puts the total magnetization at 0.00 μB per cell. The symmetry is Cmcm, No. 63.



Entry 5:
Density functional theory data (SCAN) for K2Br3 at its PBEsol-relaxed geometry.

abc: 5.5524 5.5524 6.5826
angles: 90.00 90.00 120.00
Element x y z (fractional)
1 K 0.3333 0.6667 0.2837
2 K 0.6667 0.3333 0.7163
3 Br 0.0000 0.0000 0.5000
4 Br 0.3333 0.6667 0.7887
5 Br 0.6667 0.3333 0.2113

The density is 3.00 g cm⁻³. Its uncorrected formation energy is -1363 meV/atom. The value obtained for the offset from the most stable computed form is 0.00 eV/f.u. As for the calculated volume: 35.15 Å³ per atom. The calculation puts the total magnetization at 1.06 μB per cell. The symmetry is P-3m1, No. 164.



Entry 6:
Density functional theory data (SCAN) for KBr at its PBEsol-relaxed geometry.

abc: 4.4758 4.4758 4.0607
angles: 90.00 90.00 120.00
Element x y z (fractional)
1 K 0.0000 0.0000 0.0000
2 Br 0.3333 0.6667 0.5000

The density is 2.80 g cm⁻³. Its uncorrected formation energy is -1900 meV/atom. As for the calculated volume: 35.22 Å³ per atom. The calculation puts the total magnetization at 0.00 μB per cell. The symmetry is P-6m2, No. 187.



Entry 7:
Density functional theory data (SCAN) for KBr at its PBEsol-relaxed geometry.

abc: 4.6248 4.6248 4.6248
angles: 60.00 60.00 60.00
Element x y z (fractional)
1 K 0.0000 0.0000 0.0000
2 Br 0.5000 0.5000 0.5000

The density is 2.83 g cm⁻³. Its uncorrected formation energy is -1958 meV/atom. As for the calculated volume: 34.97 Å³ per atom. The calculation puts the total magnetization at 0.00 μB per cell. The symmetry is Fm-3m, No. 225.



Entry 8:
Density functional theory data (SCAN) for K3Br at its PBEsol-relaxed geometry.

abc: 4.1058 4.1058 11.5352
angles: 90.00 90.00 90.00
Element x y z (fractional)
1 K 0.0000 0.0000 0.0000
2 K 0.5000 0.5000 0.3346
3 K 0.5000 0.5000 0.6654
4 Br 0.0000 0.0000 0.5000

The density is 1.68 g cm⁻³. Its uncorrected formation energy is -893 meV/atom. The value obtained for the offset from the most stable computed form is 0.12 eV/f.u. As for the calculated volume: 48.61 Å³ per atom. The calculation puts the total magnetization at 0.11 μB per cell. The symmetry is P4/mmm, No. 123.



Entry 9:
Density functional theory data (SCAN) for KBr at its PBEsol-relaxed geometry.

abc: 8.4436 8.4436 8.4436
angles: 37.67 37.67 37.67
Element x y z (fractional)
1 K 0.2328 0.2328 0.2328
2 K 0.7672 0.7672 0.7672
3 Br 0.0958 0.0958 0.0958
4 Br 0.9042 0.9042 0.9042

The density is 1.96 g cm⁻³. Its uncorrected formation energy is -1777 meV/atom. As for the calculated volume: 50.42 Å³ per atom. The calculation puts the total magnetization at 0.00 μB per cell. The symmetry is R-3m, No. 166.



Entry 10:
Density functional theory data (SCAN) for KBr at its PBEsol-relaxed geometry.

abc: 6.3360 6.3360 8.6266
angles: 108.90 108.90 37.86
Element x y z (fractional)
1 K 0.0000 0.0000 0.0000
2 K 0.1377 0.1377 0.6587
3 K 0.3032 0.3032 0.2996
4 Br 0.4156 0.4156 0.6853
5 Br 0.5852 0.5852 0.3325
6 Br 0.7325 0.7325 0.9905

The density is 2.97 g cm⁻³. Its uncorrected formation energy is -1890 meV/atom. As for the calculated volume: 33.29 Å³ per atom. The calculation puts the total magnetization at 0.00 μB per cell. The symmetry is Cm, No. 8.



Entry 11:
Density functional theory data (SCAN) for K2Br at its PBEsol-relaxed geometry.

abc: 4.5609 4.5609 7.9460
angles: 90.00 90.00 120.00
Element x y z (fractional)
1 K 0.3333 0.6667 0.2520
2 K 0.6667 0.3333 0.7480
3 Br 0.0000 0.0000 0.5000

The density is 1.83 g cm⁻³. Its uncorrected formation energy is -1240 meV/atom. The value obtained for the offset from the most stable computed form is 0.00 eV/f.u. As for the calculated volume: 47.72 Å³ per atom. The calculation puts the total magnetization at 0.02 μB per cell. The symmetry is P-3m1, No. 164.



Entry 12:
Density functional theory data (SCAN) for K2Br at its PBEsol-relaxed geometry.

abc: 9.6629 9.6629 6.6614
angles: 90.00 90.00 152.44
Element x y z (fractional)
1 K 0.0711 0.9289 0.7500
2 K 0.3189 0.6811 0.7500
3 K 0.6811 0.3189 0.2500
4 K 0.9289 0.0711 0.2500
5 Br 0.3029 0.6971 0.2500
6 Br 0.6971 0.3029 0.7500

The density is 1.82 g cm⁻³. Its uncorrected formation energy is -1226 meV/atom. The value obtained for the offset from the most stable computed form is 0.04 eV/f.u. As for the calculated volume: 47.97 Å³ per atom. The calculation puts the total magnetization at 0.17 μB per cell. The symmetry is Cmcm, No. 63.



Entry 13:
Density functional theory data (SCAN) for KBr3 at its PBEsol-relaxed geometry.

abc: 8.1518 8.1518 8.1518
angles: 38.02 38.02 38.02
Element x y z (fractional)
1 K 0.0000 0.0000 0.0000
2 Br 0.3878 0.3878 0.3878
3 Br 0.5000 0.5000 0.5000
4 Br 0.6122 0.6122 0.6122

The density is 2.51 g cm⁻³. Its uncorrected formation energy is -951 meV/atom. As for the calculated volume: 46.13 Å³ per atom. The calculation puts the total magnetization at 0.00 μB per cell. The symmetry is R-3m, No. 166.



Entry 14:
Density functional theory data (SCAN) for KBr3 at its PBEsol-relaxed geometry.

abc: 6.0150 6.0150 6.0150
angles: 121.64 113.80 94.12
Element x y z (fractional)
1 K 0.0000 0.0000 0.0000
2 Br 0.1858 0.6858 0.5000
3 Br 0.5000 0.0000 0.5000
4 Br 0.8142 0.3142 0.5000

The density is 2.93 g cm⁻³. Its uncorrected formation energy is -962 meV/atom. As for the calculated volume: 39.47 Å³ per atom. The calculation puts the total magnetization at 0.00 μB per cell. The symmetry is Immm, No. 71.



Entry 15:
Density functional theory data (SCAN) for K2Br at its PBEsol-relaxed geometry.

abc: 16.0854 16.0854 16.0854
angles: 165.62 165.62 20.40
Element x y z (fractional)
1 K 0.3142 0.5642 0.7500
2 K 0.4358 0.6858 0.7500
3 K 0.5642 0.3142 0.2500
4 K 0.6858 0.4358 0.2500
5 Br 0.1250 0.8750 0.2500
6 Br 0.8750 0.1250 0.7500

The density is 2.04 g cm⁻³. Its uncorrected formation energy is -1204 meV/atom. The value obtained for the offset from the most stable computed form is 0.11 eV/f.u. As for the calculated volume: 42.80 Å³ per atom. The calculation puts the total magnetization at 0.01 μB per cell. The symmetry is I4_1/amd, No. 141.



Entry 16:
Density functional theory data (SCAN) for KBr at its PBEsol-relaxed geometry.

abc: 5.1657 5.1657 5.1657
angles: 60.00 60.00 60.00
Element x y z (fractional)
1 K 0.0000 0.0000 0.0000
2 Br 0.2500 0.2500 0.2500

The density is 2.03 g cm⁻³. Its uncorrected formation energy is -1799 meV/atom. As for the calculated volume: 48.73 Å³ per atom. The calculation puts the total magnetization at 0.12 μB per cell. The symmetry is F-43m, No. 216.



Entry 17:
Density functional theory data (SCAN) for KBr at its PBEsol-relaxed geometry.

abc: 3.9298 3.9298 3.9298
angles: 90.00 90.00 90.00
Element x y z (fractional)
1 K 0.0000 0.0000 0.0000
2 Br 0.5000 0.5000 0.5000

The density is 3.26 g cm⁻³. Its uncorrected formation energy is -1902 meV/atom. As for the calculated volume: 30.34 Å³ per atom. The calculation puts the total magnetization at 0.00 μB per cell. The symmetry is Pm-3m, No. 221.



Entry 18:
Density functional theory data (SCAN) for K3Br at its PBEsol-relaxed geometry.

abc: 4.2341 4.3752 11.7031
angles: 90.00 90.00 90.00
Element x y z (fractional)
1 K 0.0000 0.0000 0.0000
2 K 0.0000 0.5000 0.3294
3 K 0.5000 0.5000 0.6910
4 Br 0.5000 0.0000 0.2202

The density is 1.51 g cm⁻³. Its uncorrected formation energy is -886 meV/atom. The value obtained for the offset from the most stable computed form is 0.15 eV/f.u. As for the calculated volume: 54.20 Å³ per atom. The calculation puts the total magnetization at 0.04 μB per cell. The symmetry is Pmm2, No. 25.



Entry 19:
Density functional theory data (SCAN) for K2Br at its PBEsol-relaxed geometry.

abc: 8.2832 8.2832 8.2832
angles: 151.78 151.78 40.33
Element x y z (fractional)
1 K 0.1237 0.1237 0.0000
2 K 0.8763 0.8763 0.0000
3 Br 0.5000 0.5000 0.0000

The density is 2.07 g cm⁻³. Its uncorrected formation energy is -1212 meV/atom. The value obtained for the offset from the most stable computed form is 0.08 eV/f.u. As for the calculated volume: 42.27 Å³ per atom. The calculation puts the total magnetization at 0.00 μB per cell. The symmetry is I4/mmm, No. 139.



Entry 20:
Density functional theory data (SCAN) for K2Br at its PBEsol-relaxed geometry.

abc: 7.3078 7.3078 7.3078
angles: 60.00 60.00 60.00
Element x y z (fractional)
1 K 0.0000 0.0000 0.0000
2 K 0.0000 0.0000 0.5000
3 K 0.0000 0.5000 0.0000
4 K 0.5000 0.0000 0.0000
5 Br 0.3750 0.3750 0.3750
6 Br 0.6250 0.6250 0.6250

The density is 1.90 g cm⁻³. Its uncorrected formation energy is -637 meV/atom. The value obtained for the offset from the most stable computed form is 1.81 eV/f.u. As for the calculated volume: 45.99 Å³ per atom. The calculation puts the total magnetization at 0.00 μB per cell. The symmetry is Fd-3m, No. 227.